Entry 1:
! NaPmH2, optimized geometry, DFT PBE-GGA; values from VASP
&SYSTEM
  ibrav = 0, nat = 4, ntyp = 3
/
ATOMIC_SPECIES
Na 22.99 Na.upf
H 1.01 H.upf
Pm 145.00 Pm.upf
CELL_PARAMETERS angstrom
-1.4508 1.2649 2.5342
-2.5147 -1.8854 -0.4985
2.9895 -5.1146 4.2644
ATOMIC_POSITIONS angstrom
Na -0.4880 -2.8676 3.1500
H 2.5618 -4.3830 3.6544
H 0.4276 -0.7316 0.6100
Pm -1.9827 -0.3103 1.0179
! Excess energy over the best structure of this formula in the dataset, meV/atom: 252.6
! Crystal system: tetragonal
! Symmetry: P4/mmm (123)

---

Entry 2:
! NaPmH2, optimized geometry, DFT PBE-GGA; values from VASP
&SYSTEM
  ibrav = 0, nat = 4, ntyp = 3
/
ATOMIC_SPECIES
Na 22.99 Na.upf
H 1.01 H.upf
Pm 145.00 Pm.upf
CELL_PARAMETERS angstrom
-1.1530 -0.7658 -3.4561
0.6945 -3.3371 -1.4975
-5.4372 -3.4673 0.5769
ATOMIC_POSITIONS angstrom
Na -2.9478 -3.7851 -2.1884
H -0.9007 -1.6648 -1.3359
H -4.9950 -5.9054 -3.0408
Pm 0.0000 0.0000 0.0000
! Excess energy over the best structure of this formula in the dataset, meV/atom: 0.0
! Crystal system: trigonal
! Symmetry: R-3m (166)

---

Entry 3:
! NaPmH, optimized geometry, DFT PBE-GGA; values from VASP
&SYSTEM
  ibrav = 0, nat = 3, ntyp = 3
/
ATOMIC_SPECIES
Na 22.99 Na.upf
H 1.01 H.upf
Pm 145.00 Pm.upf
CELL_PARAMETERS angstrom
3.5170 0.0000 0.0000
-1.7585 3.0458 0.0000
0.0000 0.0000 6.4561
ATOMIC_POSITIONS angstrom
Na 0.0000 0.0000 0.4502
H 1.7585 1.0153 2.4060
Pm 0.0000 2.0305 3.5999
! Excess energy over the best structure of this formula in the dataset, meV/atom: 104.7
! Crystal system: trigonal
! Symmetry: P3m1 (156)

---

Entry 4:
! NaPmH2, optimized geometry, DFT PBE-GGA; values from VASP
&SYSTEM
  ibrav = 0, nat = 4, ntyp = 3
/
ATOMIC_SPECIES
Na 22.99 Na.upf
H 1.01 H.upf
Pm 145.00 Pm.upf
CELL_PARAMETERS angstrom
-1.7752 0.2981 -2.5103
-0.9607 -4.3155 0.1669
-3.4909 0.8767 2.5728
ATOMIC_POSITIONS angstrom
Na -0.8876 0.1490 -1.2552
H -1.7455 0.4383 1.2864
H -0.4804 -2.1578 0.0835
Pm -3.1134 -1.5704 0.1147
! Excess energy over the best structure of this formula in the dataset, meV/atom: 363.7
! Crystal system: tetragonal
! Symmetry: P4/mmm (123)

---

Entry 5:
! NaPmH6Pt2, optimized geometry, DFT PBE-GGA; values from VASP
&SYSTEM
  ibrav = 0, nat = 20, ntyp = 4
/
ATOMIC_SPECIES
Na 22.99 Na.upf
Pm 145.00 Pm.upf
H 1.01 H.upf
Pt 195.08 Pt.upf
CELL_PARAMETERS angstrom
-3.6193 0.3126 4.9065
3.8556 -2.1833 4.1997
2.2294 7.1392 -1.6334
ATOMIC_POSITIONS angstrom
Na 3.6670 -0.1494 3.8619
Na -1.2013 5.4179 3.6109
Pm 0.1516 1.0244 4.1943
Pm 2.3142 4.2441 3.2785
H -1.8536 1.5788 5.2344
H -1.9285 1.8340 3.5404
H 4.3193 3.6896 2.2384
H 4.3942 3.4344 3.9324
H 1.1667 0.2605 2.1691
H 1.7456 0.9170 5.9728
H 1.2990 5.0079 5.3037
H 0.7202 4.3514 1.5000
H 2.5024 1.8453 3.4990
H 1.6251 -1.0735 4.5280
H -0.0367 3.4232 3.9738
H 0.8406 6.3419 2.9448
Pt 0.6641 6.0001 1.2993
Pt 0.3062 3.7095 5.6036
Pt 1.8016 -0.7316 6.1736
Pt 2.1595 1.5590 1.8692
! Crystal system: monoclinic
! VASP energy, eV per atom: -4.22
! Symmetry: C2/c (15)

---

Entry 6:
! Na2PmH12Rh3, optimized geometry, DFT PBE-GGA; values from VASP
&SYSTEM
  ibrav = 0, nat = 18, ntyp = 4
/
ATOMIC_SPECIES
Na 22.99 Na.upf
Pm 145.00 Pm.upf
H 1.01 H.upf
Rh 102.91 Rh.upf
CELL_PARAMETERS angstrom
6.1370 -0.1457 -0.1033
2.9041 5.4083 -0.1033
2.9041 1.6904 5.1384
ATOMIC_POSITIONS angstrom
Na 7.3029 4.2509 3.0151
Na 4.6422 2.7021 1.9166
Pm 0.0000 0.0000 0.0000
H 5.0780 2.9558 4.3767
H 9.0710 5.2801 2.1102
H 7.7294 6.0421 4.2856
H 6.9492 1.8931 1.3428
H 9.0710 3.7371 4.2856
H 5.0780 5.1077 1.3428
H 6.8671 3.9972 0.5551
H 2.8741 1.6730 2.8215
H 4.2158 0.9110 0.6461
H 4.9959 5.0600 3.5890
H 2.8741 3.2159 0.6461
H 6.8671 1.8453 3.5890
Rh 3.0685 -0.0728 -0.0517
Rh 1.4520 2.7042 -0.0517
Rh 1.4520 0.8452 2.5692
! Crystal system: trigonal
! VASP energy, eV per atom: -4.17
! Symmetry: R-3m (166)

---

Entry 7:
! NaPm2H6Rh2, optimized geometry, DFT PBE-GGA; values from VASP
&SYSTEM
  ibrav = 0, nat = 11, ntyp = 4
/
ATOMIC_SPECIES
Na 22.99 Na.upf
Pm 145.00 Pm.upf
H 1.01 H.upf
Rh 102.91 Rh.upf
CELL_PARAMETERS angstrom
-4.7990 -0.8651 0.8846
-1.7882 -4.6105 -0.3271
-0.9463 -2.7281 6.0808
ATOMIC_POSITIONS angstrom
Na 0.0000 0.0000 0.0000
Pm -5.7362 -6.0906 4.5725
Pm -1.7973 -2.1131 2.0658
H -5.0994 -4.8389 2.2860
H -2.7082 -4.4078 1.8452
H -4.2084 -2.5416 2.4490
H -3.3251 -5.6621 4.1893
H -4.8253 -3.7959 4.7931
H -2.4341 -3.3648 4.3523
Rh -3.3251 -4.4210 5.4029
Rh -4.2084 -3.7827 1.2354
! Crystal system: trigonal
! VASP energy, eV per atom: -4.55
! Symmetry: R-3m (166)

---

Entry 8:
! NaPrH2, optimized geometry, DFT PBE-GGA; values from VASP
&SYSTEM
  ibrav = 0, nat = 4, ntyp = 3
/
ATOMIC_SPECIES
Pr 140.91 Pr.upf
Na 22.99 Na.upf
H 1.01 H.upf
CELL_PARAMETERS angstrom
-1.1279 0.8499 3.5299
-2.5576 -2.1954 1.7588
3.2736 -3.8793 4.0276
ATOMIC_POSITIONS angstrom
Pr 0.0000 0.0000 0.0000
Na -0.2060 -2.6123 4.6581
H 0.1623 -4.2776 7.2242
H -0.5742 -0.9471 2.0920
! Crystal system: trigonal
! VASP energy, eV per atom: -3.47
! Symmetry: R-3m (166)